Density functional theory data (GGA-PBE) for an optimized crystal structure of Nd2SbSe.

Cell lengths 4.315, 4.315, 7.888 Å; angles 74.13, 74.13, 60.00 degrees
Element x y z (fractional)
Nd 0.077 0.077 0.770
Nd 0.255 0.255 0.234
Sb 0.499 0.499 0.502
Se 0.669 0.669 0.994

Output
Space group: R3m (160)
Formation energy (no corrections) in eV per atom: -1.436
Excess energy over the best structure of this formula in the dataset in kJ/mol of formula units: 32
Theoretical density in kg/m³: 6731
Total DFT energy (no corrections) in eV per cell: -22.89